#i
# Mg2PdAu2 (PBE, optimized geometry)
data_Mg2PdAu2
_cell_length_a 7.577
_cell_length_b 7.577
_cell_length_c 3.117
_cell_angle_alpha 90.00
_cell_angle_beta 90.00
_cell_angle_gamma 90.00
_space_group_name_H-M_alt 'P 1'
_space_group_IT_number 1
loop_
_space_group_symop_operation_xyz
'x,y,z'
loop_
_atom_site_label
_atom_site_fract_x
_atom_site_fract_y
_atom_site_fract_z
_atom_site_occupancy
Mg1 0.155 0.345 0.000 1
Mg2 0.345 0.845 0.000 1
Mg3 0.655 0.155 0.000 1
Mg4 0.845 0.655 0.000 1
Pd1 0.000 0.000 0.000 1
Pd2 0.500 0.500 0.000 1
Au1 0.144 0.644 0.500 1
Au2 0.356 0.144 0.500 1
Au3 0.644 0.856 0.500 1
Au4 0.856 0.356 0.500 1
# * D(E_F): 0.336 states/eV per atom

#ii
# Mg2PdAu2 (PBE, optimized geometry)
data_Mg2PdAu2
_cell_length_a 7.480
_cell_length_b 7.480
_cell_length_c 3.250
_cell_angle_alpha 90.00
_cell_angle_beta 90.00
_cell_angle_gamma 90.00
_space_group_name_H-M_alt 'P 1'
_space_group_IT_number 1
loop_
_space_group_symop_operation_xyz
'x,y,z'
loop_
_atom_site_label
_atom_site_fract_x
_atom_site_fract_y
_atom_site_fract_z
_atom_site_occupancy
Mg1 0.167 0.333 0.000 1
Mg2 0.333 0.833 0.000 1
Mg3 0.667 0.167 0.000 1
Mg4 0.833 0.667 0.000 1
Pd1 0.000 0.000 0.500 1
Pd2 0.500 0.500 0.500 1
Au1 0.134 0.634 0.500 1
Au2 0.366 0.134 0.500 1
Au3 0.634 0.866 0.500 1
Au4 0.866 0.366 0.500 1
# * D(E_F): 0.372 states/eV per atom

The structure with the least stability is #i.

#i
# Mg4PdAu (PBE, optimized geometry)
data_Mg4PdAu
_cell_length_a 4.529
_cell_length_b 4.529
_cell_length_c 6.341
_cell_angle_alpha 90.00
_cell_angle_beta 90.00
_cell_angle_gamma 90.00
_space_group_name_H-M_alt 'P 1'
_space_group_IT_number 1
loop_
_space_group_symop_operation_xyz
'x,y,z'
loop_
_atom_site_label
_atom_site_fract_x
_atom_site_fract_y
_atom_site_fract_z
_atom_site_occupancy
Mg1 0.000 0.500 0.244 1
Mg2 0.000 0.500 0.756 1
Mg3 0.500 0.000 0.244 1
Mg4 0.500 0.000 0.756 1
Pd1 0.000 0.000 0.000 1
Au1 0.500 0.500 0.500 1
# * D(E_F): 0.581 states/eV per atom

#ii
# Mg4PdAu (PBE, optimized geometry)
data_Mg4PdAu
_cell_length_a 3.314
_cell_length_b 5.411
_cell_length_c 7.413
_cell_angle_alpha 100.98
_cell_angle_beta 102.37
_cell_angle_gamma 107.50
_space_group_name_H-M_alt 'P 1'
_space_group_IT_number 1
loop_
_space_group_symop_operation_xyz
'x,y,z'
loop_
_atom_site_label
_atom_site_fract_x
_atom_site_fract_y
_atom_site_fract_z
_atom_site_occupancy
Mg1 0.000 0.000 0.000 1
Mg2 0.152 0.673 0.620 1
Mg3 0.481 0.719 0.260 1
Mg4 0.651 0.406 0.897 1
Pd1 0.771 0.292 0.265 1
Au1 0.869 0.114 0.613 1
# * D(E_F): 0.354 states/eV per atom

The structure with the least stability is #ii.